An optimized crystal structure of ZnHg4Br, computed with PBE.

Results
Calculated total energy in eV/atom: -0.562
Formation energy from raw total energies in eV per atom: 0.13
Magnetization in μB/f.u.: 0.00
Density of states at the Fermi level in states/eV per cell: 5.63
V in Å³ per atom: 28.20

Cell lengths 6.2080, 6.2080, 6.2080 Å; angles 60.00, 60.00, 60.00 degrees
With the nearest neighbours (Å) after each atom.
Element x y z (fractional)
Zn1 0.7500 0.7500 0.7500  12 Hg 3.64, 4 Br 3.80
Hg1 0.8745 0.3752 0.3752  6 Hg 3.10-3.11
Hg2 0.3752 0.3752 0.8745  6 Hg 3.10-3.11
Hg3 0.3752 0.8745 0.3752  6 Hg 3.10-3.11
Hg4 0.3752 0.3752 0.3752  6 Hg 3.10-3.11
Br1 0.0000 0.0000 0.0000  12 Hg 3.64, 4 Zn 3.80